The following is a PBE calculation of a relaxed structure of HoOsPb, from OQMD.

Calculated values
Symmetry ... No. 216
Calculated total energy ... -5.8580 eV per atom

Cell lengths 4.727, 4.727, 4.727 Å; angles 60.00, 60.00, 60.00 degrees
Site moments in Bohr magnetons follow the coordinates.
Fractional coordinates of all 3 atoms:
Ho: 0.250 0.250 0.250  0.11
Os: 0.750 0.750 0.750  0.91
Pb: 0.000 0.000 0.000  0.02